First-principles (PBE) data for a relaxed structure of Nd2GaO, as listed in Alexandria via LeMat-Bulk.

a = 3.7270 Å, b = 3.7270 Å, c = 21.8743 Å
α = 90.00°, β = 90.00°, γ = 120.00°
Space group R-3m (No. 166, hexagonal axes)
Unique sites:
Nd: 0.0000 0.0000 0.2313 x6
Ga: 0.0000 0.0000 0.0000 x3
O: 0.0000 0.0000 0.5000 x3

Computed properties:
Energy relative to the elements, uncorrected = -1.549 eV/atom
ΔE to the lowest computed polymorph = 0.0 meV/atom
Crystal system = trigonal



First-principles (PBE) data for a relaxed structure of RbCaTa2Tl, as listed in Alexandria via LeMat-Bulk.

a = 5.368 Å, b = 5.368 Å, c = 6.160 Å
α = 90.00°, β = 90.00°, γ = 90.00°
Space group P4/mmm (No. 123)
Unique sites:
Rb: 0.000 0.000 0.000 x1
Ca: 0.500 0.500 0.000 x1
Ta: 0.000 0.500 0.500 x2
Tl: 0.000 0.000 0.500 x1

Computed properties:
Calculated formation energy = 856.9 kJ/mol of formula units
Crystal system = tetragonal



First-principles (PBE) data for a relaxed structure of Ca3LaHg2, as listed in Alexandria via LeMat-Bulk.

a = 5.163 Å, b = 9.873 Å, c = 7.464 Å
α = 90.00°, β = 90.00°, γ = 90.00°
Space group Pmc2_1 (No. 26)
Unique sites:
Ca: 0.000 0.071 0.000 x2
Ca: 0.000 0.312 0.375 x2
Ca: 0.500 0.180 0.685 x2
La: 0.500 0.437 0.059 x2
Hg: 0.000 0.370 0.794 x2
Hg: 0.500 0.135 0.264 x2

Computed properties:
Calculated formation energy = -219.2 kJ/mol of formula units
Crystal system = orthorhombic



no.,total energy (eV per atom),V (Å³/atom)
1,-5.93,21.9
2,-4.03,35.5
3,-2.30,31.7